Record 1
# SrVCd2

An optimized crystal structure of SrVCd2 (PBE, the Alexandria database).

a = 5.035 Å, b = 5.035 Å, c = 10.624 Å
α = 76.29°, β = 76.29°, γ = 90.00°
Element x y z (fractional)
1 V 0.250 0.750 0.500
2 Cd 0.375 0.505 0.750
3 V 0.500 0.500 0.000
4 Sr 0.750 0.250 0.500
5 Cd 0.875 0.745 0.750
6 Cd 0.255 0.625 0.250
7 Sr 0.000 0.000 0.000
8 Cd 0.495 0.125 0.250

M_tot = 3.89 μB/f.u.
DOS at the Fermi energy = 1.041 states/eV per atom
Energy relative to the elements = 0.476 eV/atom
Symmetry = I-42d (122)



Record 2
# SrV3Cd

An optimized crystal structure of SrV3Cd (PBE, the Alexandria database).

a = 5.208 Å, b = 5.208 Å, c = 5.208 Å
α = 90.00°, β = 90.00°, γ = 90.00°
Element x y z (fractional)
1 V 0.000 0.500 0.000
2 V 0.000 0.000 0.500
3 Cd 0.000 0.000 0.000
4 Sr 0.500 0.500 0.500
5 V 0.500 0.000 0.000

M_tot = 11.33 μB/f.u.
DOS at the Fermi energy = 2.105 states/eV per atom
Energy relative to the elements = 1.365 eV/atom
E above lowest polymorph = 0 meV per atom
Symmetry = Pm-3m (221)



Record 3
# SrV3Cd

An optimized crystal structure of SrV3Cd (PBE, the Alexandria database).

a = 4.605 Å, b = 4.605 Å, c = 4.605 Å
α = 90.00°, β = 90.00°, γ = 90.00°
Element x y z (fractional)
1 V 0.000 0.000 0.500
2 Sr 0.000 0.000 0.000
3 Cd 0.500 0.500 0.500
4 V 0.500 0.000 0.000
5 V 0.000 0.500 0.000

M_tot = 0.00 μB/f.u.
DOS at the Fermi energy = 1.283 states/eV per atom
Energy relative to the elements = 2.292 eV/atom
E above lowest polymorph = 927 meV per atom
Symmetry = Pm-3m (221)



Record 4
# Sr3VCd

An optimized crystal structure of Sr3VCd (PBE, the Alexandria database).

a = 6.184 Å, b = 6.184 Å, c = 6.184 Å
α = 90.00°, β = 90.00°, γ = 90.00°
Element x y z (fractional)
1 Sr 0.000 0.500 0.000
2 Sr 0.000 0.000 0.500
3 Sr 0.500 0.000 0.000
4 V 0.000 0.000 0.000
5 Cd 0.500 0.500 0.500

M_tot = 5.18 μB/f.u.
DOS at the Fermi energy = 0.902 states/eV per atom
Energy relative to the elements = 0.598 eV/atom
E above lowest polymorph = 0 meV per atom
Symmetry = Pm-3m (221)



Record 5
# SrCd4W

An optimized crystal structure of SrCd4W (PBE, the Alexandria database).

a = 5.816 Å, b = 5.816 Å, c = 5.816 Å
α = 60.00°, β = 60.00°, γ = 60.00°
Element x y z (fractional)
1 Cd 0.374 0.878 0.374
2 Cd 0.878 0.374 0.374
3 Cd 0.374 0.374 0.374
4 Sr 0.750 0.750 0.750
5 Cd 0.374 0.374 0.878
6 W 0.000 0.000 0.000

M_tot = 3.25 μB/f.u.
DOS at the Fermi energy = 0.557 states/eV per atom
Energy relative to the elements = 0.463 eV/atom
Symmetry = F-43m (216)



Record 6
# Sr2CdW

An optimized crystal structure of Sr2CdW (PBE, the Alexandria database).

a = 4.516 Å, b = 4.516 Å, c = 11.490 Å
α = 78.67°, β = 78.67°, γ = 90.00°
Element x y z (fractional)
1 Sr 0.120 0.625 0.250
2 Cd 0.250 0.750 0.500
3 Cd 0.500 0.500 0.000
4 Sr 0.875 0.880 0.750
5 Sr 0.375 0.370 0.750
6 W 0.000 0.000 0.000
7 Sr 0.630 0.125 0.250
8 W 0.750 0.250 0.500

M_tot = 0.00 μB/f.u.
DOS at the Fermi energy = 0.631 states/eV per atom
Energy relative to the elements = 1.317 eV/atom
Symmetry = I-42d (122)



Record 7
# Sr2CdW

An optimized crystal structure of Sr2CdW (PBE, the Alexandria database).

a = 5.389 Å, b = 3.210 Å, c = 6.335 Å
α = 90.17°, β = 90.00°, γ = 90.00°
Element x y z (fractional)
1 W 0.000 0.625 0.490
2 Sr 0.000 0.127 0.949
3 Sr 0.500 0.123 0.307
4 Cd 0.500 0.625 0.754

M_tot = 0.81 μB/f.u.
DOS at the Fermi energy = 1.333 states/eV per atom
Energy relative to the elements = 0.831 eV/atom
Symmetry = Pm (6)



Record 8
# Sr2CdW

An optimized crystal structure of Sr2CdW (PBE, the Alexandria database).

a = 5.529 Å, b = 5.529 Å, c = 6.835 Å
α = 84.02°, β = 84.02°, γ = 33.26°
Element x y z (fractional)
1 Sr 0.495 0.495 0.514
2 Sr 0.005 0.005 0.986
3 W 0.750 0.750 0.750
4 Cd 0.250 0.250 0.250

M_tot = 1.30 μB/f.u.
DOS at the Fermi energy = 0.921 states/eV per atom
Energy relative to the elements = 1.031 eV/atom
Symmetry = C2/m (12)